(a)
Entry from Alexandria via LeMat-Bulk: a geometry-optimized InHg2Sb2 structure (PBE).

## Properties
Fermi-level density of states ... 1.96 states/eV/f.u.
Magnetic moment ... 0.000 μB per atom

abc: 9.0049 9.0049 9.0049
angles: 153.28 153.28 38.15
Fractional coordinates of all 5 atoms:
In 0.0000 0.0000 0.0000
Hg 0.2500 0.7500 0.5000
Hg 0.7500 0.2500 0.5000
Sb 0.4153 0.4153 0.0000
Sb 0.5847 0.5847 0.0000

(b)
Entry from Alexandria via LeMat-Bulk: a geometry-optimized InHg2Sb2 structure (PBE).

## Properties
Fermi-level density of states ... 2.55 states/eV/f.u.
Magnetic moment ... 0.000 μB per atom

abc: 8.9647 8.9647 3.4603
angles: 90.00 90.00 90.00
Fractional coordinates of all 10 atoms:
In 0.0000 0.0000 0.0000
In 0.5000 0.5000 0.0000
Hg 0.1203 0.3797 0.5000
Hg 0.3797 0.8797 0.5000
Hg 0.6203 0.1203 0.5000
Hg 0.8797 0.6203 0.5000
Sb 0.1837 0.6837 0.0000
Sb 0.3163 0.1837 0.0000
Sb 0.6837 0.8163 0.0000
Sb 0.8163 0.3163 0.0000

Stability summary: most stable (a), least stable (b).